## La2Pm8Pr3 (PBE-GGA)

Data for La2Pm8Pr3 after structural relaxation.

Cell: 6.277 11.973 8.985 Å, 131.78 72.95 90.00°
Positions (direct):
La1 0.647 0.706 0.412
La2 0.353 0.294 0.588
Pm1 0.781 0.439 0.879
Pm2 0.219 0.561 0.121
Pm3 0.046 0.843 0.687
Pm4 0.954 0.157 0.313
Pm5 0.321 0.918 0.347
Pm6 0.321 0.429 0.347
Pm7 0.679 0.571 0.653
Pm8 0.679 0.082 0.653
Pr1 0.500 0.000 0.000
Pr2 0.000 0.240 0.000
Pr3 0.000 0.760 0.000

Results
- final energy (eV per formula unit) = -60.3
- symmetry = C2/m
- energy relative to the lowest polymorph listed for this composition (meV/atom) = 0
- formation energy (eV per formula unit) = 1.893
- magnetic moment (μB/f.u.) = 0.0